# Sm2ErTh | the Alexandria database | PBE | optimized geometry
data_Sm2ErTh
_chemical_formula_sum 'Sm8 Er4 Th4'
_cell_length_a 8.069
_cell_length_b 8.069
_cell_length_c 8.069
_cell_angle_alpha 90.00
_cell_angle_beta 90.00
_cell_angle_gamma 90.00
_symmetry_space_group_name_H-M 'F m -3 m'
_symmetry_Int_Tables_number 225
_symmetry_space_group_name_Hall '-F 4 2 3'
loop_
_atom_site_label
_atom_site_type_symbol
_atom_site_fract_x
_atom_site_fract_y
_atom_site_fract_z
Sm1 Sm 0.250 0.250 0.250
Er1 Er 0.000 0.000 0.000
Th1 Th 0.000 0.000 0.500
# * ΔE_f: 0.20 eV per atom
# * D(E_F): 2.638 states/eV/atom
# * DFT total energy: -20.61 eV per formula unit
# * excess energy over the best structure of this formula in the dataset: 181 meV/atom
# * crystal system: cubic



# Sm2Er4Th | the Alexandria database | PBE | optimized geometry
data_Sm2Er4Th
_chemical_formula_sum 'Sm4 Er8 Th2'
_cell_length_a 10.703
_cell_length_b 12.422
_cell_length_c 3.491
_cell_angle_alpha 90.00
_cell_angle_beta 90.00
_cell_angle_gamma 90.00
_symmetry_space_group_name_H-M 'C m m m'
_symmetry_Int_Tables_number 65
_symmetry_space_group_name_Hall '-C 2 2'
loop_
_atom_site_label
_atom_site_type_symbol
_atom_site_fract_x
_atom_site_fract_y
_atom_site_fract_z
Sm1 Sm 0.250 0.250 0.000
Er1 Er 0.000 0.173 0.500
Er2 Er 0.192 0.000 0.000
Th1 Th 0.000 0.500 0.500
# * ΔE_f: 0.32 eV per atom
# * D(E_F): 1.676 states/eV/atom
# * DFT total energy: -32.87 eV per formula unit
# * excess energy over the best structure of this formula in the dataset: 297 meV/atom
# * crystal system: orthorhombic



# SmEr2Th | the Alexandria database | PBE | optimized geometry
data_SmEr2Th
_chemical_formula_sum 'Sm2 Er4 Th2'
_cell_length_a 3.514
_cell_length_b 5.626
_cell_length_c 13.163
_cell_angle_alpha 90.00
_cell_angle_beta 90.00
_cell_angle_gamma 90.00
_symmetry_space_group_name_H-M 'P m m n'
_symmetry_Int_Tables_number 59
loop_
_symmetry_equiv_pos_as_xyz
'x,y,z'
'-x,-y,-z'
'-x+1/2,-y+1/2,z'
'x+1/2,y+1/2,-z'
'x+1/2,-y,-z'
'-x+1/2,y,z'
'-x,y+1/2,-z'
'x,-y+1/2,z'
loop_
_atom_site_label
_atom_site_type_symbol
_atom_site_fract_x
_atom_site_fract_y
_atom_site_fract_z
Sm1 Sm 0.250 0.250 0.203
Er1 Er 0.250 0.250 0.684
Er2 Er 0.250 0.250 0.937
Th1 Th 0.250 0.750 0.541
# * ΔE_f: 0.08 eV per atom
# * D(E_F): 1.536 states/eV/atom
# * DFT total energy: -20.95 eV per formula unit
# * excess energy over the best structure of this formula in the dataset: 84 meV/atom
# * crystal system: orthorhombic



# Sm5Er4Th | the Alexandria database | PBE | optimized geometry
data_Sm5Er4Th
_chemical_formula_sum 'Sm10 Er8 Th2'
_cell_length_a 16.952
_cell_length_b 3.532
_cell_length_c 11.467
_cell_angle_alpha 90.00
_cell_angle_beta 108.67
_cell_angle_gamma 90.00
_symmetry_space_group_name_H-M 'C 1 2/m 1'
_symmetry_Int_Tables_number 12
loop_
_symmetry_equiv_pos_as_xyz
'x,y,z'
'-x,-y,-z'
'-x,y,-z'
'x,-y,z'
'x+1/2,y+1/2,z'
'-x+1/2,-y+1/2,-z'
'-x+1/2,y+1/2,-z'
'x+1/2,-y+1/2,z'
loop_
_atom_site_label
_atom_site_type_symbol
_atom_site_fract_x
_atom_site_fract_y
_atom_site_fract_z
Sm1 Sm 0.000 0.000 0.000
Sm2 Sm 0.190 0.500 0.081
Sm3 Sm 0.204 0.500 0.613
Er1 Er 0.082 0.500 0.296
Er2 Er 0.105 0.000 0.798
Th1 Th 0.000 0.000 0.500
# * ΔE_f: 0.04 eV per atom
# * D(E_F): 1.470 states/eV/atom
# * DFT total energy: -48.86 eV per formula unit
# * excess energy over the best structure of this formula in the dataset: 0 meV/atom
# * crystal system: monoclinic



# Sm5Er3Th2 | the Alexandria database | PBE | optimized geometry
data_Sm5Er3Th2
_chemical_formula_sum 'Sm20 Er12 Th8'
_cell_length_a 10.838
_cell_length_b 17.196
_cell_length_c 9.030
_cell_angle_alpha 90.00
_cell_angle_beta 126.74
_cell_angle_gamma 90.00
_symmetry_space_group_name_H-M 'C 1 2/c 1'
_symmetry_Int_Tables_number 15
loop_
_symmetry_equiv_pos_as_xyz
'x,y,z'
'-x,-y,-z'
'-x,y,-z+1/2'
'x,-y,z+1/2'
'x+1/2,y+1/2,z'
'-x+1/2,-y+1/2,-z'
'-x+1/2,y+1/2,-z+1/2'
'x+1/2,-y+1/2,z+1/2'
loop_
_atom_site_label
_atom_site_type_symbol
_atom_site_fract_x
_atom_site_fract_y
_atom_site_fract_z
Sm1 Sm 0.000 0.030 0.250
Sm2 Sm 0.000 0.221 0.250
Sm3 Sm 0.000 0.277 0.750
Sm4 Sm 0.249 0.116 0.751
Er1 Er 0.000 0.466 0.750
Er2 Er 0.147 0.122 0.043
Th1 Th 0.134 0.378 0.519
# * ΔE_f: 0.21 eV per atom
# * D(E_F): 1.543 states/eV/atom
# * DFT total energy: -50.02 eV per formula unit
# * crystal system: monoclinic



# Sm8Er2Th | the Alexandria database | PBE | optimized geometry
data_Sm8Er2Th
_chemical_formula_sum 'Sm16 Er4 Th2'
_cell_length_a 18.372
_cell_length_b 5.095
_cell_length_c 8.065
_cell_angle_alpha 90.00
_cell_angle_beta 105.33
_cell_angle_gamma 90.00
_symmetry_space_group_name_H-M 'C 1 2/m 1'
_symmetry_Int_Tables_number 12
loop_
_symmetry_equiv_pos_as_xyz
'x,y,z'
'-x,-y,-z'
'-x,y,-z'
'x,-y,z'
'x+1/2,y+1/2,z'
'-x+1/2,-y+1/2,-z'
'-x+1/2,y+1/2,-z'
'x+1/2,-y+1/2,z'
loop_
_atom_site_label
_atom_site_type_symbol
_atom_site_fract_x
_atom_site_fract_y
_atom_site_fract_z
Sm1 Sm 0.045 0.000 0.233
Sm2 Sm 0.091 0.500 0.953
Sm3 Sm 0.136 0.000 0.682
Sm4 Sm 0.181 0.500 0.410
Er1 Er 0.228 0.000 0.135
Th1 Th 0.000 0.500 0.500
# * ΔE_f: 0.03 eV per atom
# * D(E_F): 1.464 states/eV/atom
# * DFT total energy: -53.95 eV per formula unit
# * excess energy over the best structure of this formula in the dataset: 0 meV/atom
# * crystal system: monoclinic



# SmEr2Th | the Alexandria database | PBE | optimized geometry
data_SmEr2Th
_chemical_formula_sum 'Sm1 Er2 Th1'
_cell_length_a 3.565
_cell_length_b 3.565
_cell_length_c 10.018
_cell_angle_alpha 90.00
_cell_angle_beta 90.00
_cell_angle_gamma 90.00
_symmetry_space_group_name_H-M 'P 4/m m m'
_symmetry_Int_Tables_number 123
_symmetry_space_group_name_Hall '-P 4 2'
loop_
_atom_site_label
_atom_site_type_symbol
_atom_site_fract_x
_atom_site_fract_y
_atom_site_fract_z
Sm1 Sm 0.000 0.000 0.000
Er1 Er 0.500 0.500 0.257
Th1 Th 0.000 0.000 0.500
# * ΔE_f: 0.02 eV per atom
# * D(E_F): 1.221 states/eV/atom
# * DFT total energy: -21.19 eV per formula unit
# * excess energy over the best structure of this formula in the dataset: 23 meV/atom
# * crystal system: tetragonal



# Sm2Er9Th | the Alexandria database | PBE | optimized geometry
data_Sm2Er9Th
_chemical_formula_sum 'Sm2 Er9 Th1'
_cell_length_a 4.995
_cell_length_b 4.995
_cell_length_c 14.994
_cell_angle_alpha 90.00
_cell_angle_beta 90.00
_cell_angle_gamma 90.00
_symmetry_space_group_name_H-M 'P 4/m m m'
_symmetry_Int_Tables_number 123
_symmetry_space_group_name_Hall '-P 4 2'
loop_
_atom_site_label
_atom_site_type_symbol
_atom_site_fract_x
_atom_site_fract_y
_atom_site_fract_z
Sm1 Sm 0.000 0.000 0.168
Er1 Er 0.000 0.500 0.000
Er2 Er 0.000 0.500 0.336
Er3 Er 0.500 0.500 0.166
Er4 Er 0.500 0.500 0.500
Th1 Th 0.000 0.000 0.500
# * ΔE_f: 0.03 eV per atom
# * D(E_F): 1.436 states/eV/atom
# * DFT total energy: -57.60 eV per formula unit
# * crystal system: tetragonal